No. 1
Below is a relaxed structure of HoU3S6, with properties calculated at the PBE level.

The calculation puts the total moment at 16.90 μB/cell. The value obtained for the uncorrected formation energy is -1510 meV/atom. As for the space group: No. 11.

a = 10.9128 Å, b = 3.8572 Å, c = 11.3424 Å
α = 90.00°, β = 107.88°, γ = 90.00°
Element x y z (fractional)
1 Ho 0.0443 0.2500 0.1901
2 Ho 0.9557 0.7500 0.8099
3 U 0.1561 0.2500 0.5771
4 U 0.3180 0.7500 0.9994
5 U 0.4265 0.2500 0.3324
6 U 0.5735 0.7500 0.6676
7 U 0.6820 0.2500 0.0006
8 U 0.8439 0.7500 0.4229
9 S 0.0820 0.7500 0.3954
10 S 0.1150 0.2500 0.9635
11 S 0.1919 0.7500 0.7501
12 S 0.2507 0.7500 0.2197
13 S 0.3982 0.2500 0.5631
14 S 0.4894 0.2500 0.1211
15 S 0.5106 0.7500 0.8789
16 S 0.6018 0.7500 0.4369
17 S 0.7493 0.2500 0.7803
18 S 0.8081 0.2500 0.2499
19 S 0.8850 0.7500 0.0365
20 S 0.9180 0.2500 0.6046


No. 2
Below is a relaxed structure of Cs2Na4Tl, with properties calculated at the PBE level.

The calculation puts the total moment at 0.00 μB/cell. The value obtained for the relative energy among the computed polymorphs is 0.000 eV/atom. The formation energy is 0.028 eV/atom. As for the space group: No. 139.

a = 6.2229 Å, b = 6.2229 Å, c = 21.0539 Å
α = 90.00°, β = 90.00°, γ = 90.00°
Element x y z (fractional)
1 Cs 0.0000 0.0000 0.1446
2 Cs 0.0000 0.0000 0.8554
3 Cs 0.5000 0.5000 0.3554
4 Cs 0.5000 0.5000 0.6446
5 Na 0.0000 0.0000 0.3531
6 Na 0.0000 0.0000 0.6469
7 Na 0.0000 0.5000 0.0000
8 Na 0.0000 0.5000 0.5000
9 Na 0.5000 0.0000 0.0000
10 Na 0.5000 0.0000 0.5000
11 Na 0.5000 0.5000 0.1469
12 Na 0.5000 0.5000 0.8531
13 Tl 0.0000 0.0000 0.5000
14 Tl 0.5000 0.5000 0.0000


No. 3
Below is a relaxed structure of Be2AlCu5Ag2, with properties calculated at the PBE level.

The calculation puts the total moment at 0.00 μB/cell. The formation energy is -0.007 eV/atom. As for the space group: No. 127.

a = 8.4081 Å, b = 8.4081 Å, c = 3.6020 Å
α = 90.00°, β = 90.00°, γ = 90.00°
Element x y z (fractional)
1 Be 0.1167 0.3833 0.0000
2 Be 0.3833 0.8833 0.0000
3 Be 0.6167 0.1167 0.0000
4 Be 0.8833 0.6167 0.0000
5 Al 0.0000 0.0000 0.0000
6 Al 0.5000 0.5000 0.0000
7 Cu 0.0000 0.5000 0.5000
8 Cu 0.0708 0.2081 0.5000
9 Cu 0.2081 0.9292 0.5000
10 Cu 0.2919 0.4292 0.5000
11 Cu 0.4292 0.7081 0.5000
12 Cu 0.5000 0.0000 0.5000
13 Cu 0.5708 0.2919 0.5000
14 Cu 0.7081 0.5708 0.5000
15 Cu 0.7919 0.0708 0.5000
16 Cu 0.9292 0.7919 0.5000
17 Ag 0.1769 0.6769 0.0000
18 Ag 0.3231 0.1769 0.0000
19 Ag 0.6769 0.8231 0.0000
20 Ag 0.8231 0.3231 0.0000


No. 4
Below is a relaxed structure of AlGaSbF2, with properties calculated at the PBE level.

The calculation puts the total moment at 0.00 μB/cell. The value obtained for the uncorrected formation energy is -955 meV/atom. As for the space group: No. 123.

a = 3.9748 Å, b = 3.9748 Å, c = 5.9631 Å
α = 90.00°, β = 90.00°, γ = 90.00°
Element x y z (fractional)
1 Al 0.0000 0.0000 0.0000
2 Ga 0.0000 0.0000 0.5000
3 Sb 0.5000 0.5000 0.0000
4 F 0.0000 0.5000 0.5000
5 F 0.5000 0.0000 0.5000


No. 5
Below is a relaxed structure of CeNpPtRh, with properties calculated at the PBE level.

The calculation puts the total moment at 20.06 μB/cell. The value obtained for the relative energy among the computed polymorphs is 0.039 eV/atom. The formation energy is -0.546 eV/atom. As for the space group: No. 216.

a = 6.9812 Å, b = 6.9812 Å, c = 6.9812 Å
α = 90.00°, β = 90.00°, γ = 90.00°
Element x y z (fractional)
1 Ce 0.0000 0.0000 0.0000
2 Ce 0.0000 0.5000 0.5000
3 Ce 0.5000 0.0000 0.5000
4 Ce 0.5000 0.5000 0.0000
5 Np 0.0000 0.0000 0.5000
6 Np 0.0000 0.5000 0.0000
7 Np 0.5000 0.0000 0.0000
8 Np 0.5000 0.5000 0.5000
9 Pt 0.2500 0.2500 0.2500
10 Pt 0.2500 0.7500 0.7500
11 Pt 0.7500 0.2500 0.7500
12 Pt 0.7500 0.7500 0.2500
13 Rh 0.2500 0.2500 0.7500
14 Rh 0.2500 0.7500 0.2500
15 Rh 0.7500 0.2500 0.2500
16 Rh 0.7500 0.7500 0.7500


No. 6
Below is a relaxed structure of HoTl5Cl8, with properties calculated at the PBE level.

The calculation puts the total moment at 0.00 μB/cell. The value obtained for the uncorrected formation energy is -1385 meV/atom. As for the space group: No. 5.

a = 8.4264 Å, b = 8.4264 Å, c = 10.2400 Å
α = 122.95°, β = 122.95°, γ = 69.98°
Element x y z (fractional)
1 Ho 0.0000 0.0000 0.0000
2 Tl 0.2741 0.7259 0.5000
3 Tl 0.2899 0.3014 0.9831
4 Tl 0.5185 0.0511 0.5029
5 Tl 0.6986 0.7101 0.0169
6 Tl 0.9489 0.4815 0.4971
7 Cl 0.0471 0.0313 0.2906
8 Cl 0.3695 0.0022 0.1274
9 Cl 0.4080 0.4781 0.6677
10 Cl 0.5219 0.5920 0.3323
11 Cl 0.6244 0.0126 0.8633
12 Cl 0.9687 0.9529 0.7094
13 Cl 0.9874 0.3756 0.1367
14 Cl 0.9978 0.6305 0.8726


No. 7
Below is a relaxed structure of PuAlGaAu, with properties calculated at the PBE level.

The calculation puts the total moment at 22.37 μB/cell. The formation energy is -0.243 eV/atom. As for the space group: No. 216.

a = 6.7970 Å, b = 6.7970 Å, c = 6.7970 Å
α = 90.00°, β = 90.00°, γ = 90.00°
Element x y z (fractional)
1 Pu 0.0000 0.0000 0.0000
2 Pu 0.0000 0.5000 0.5000
3 Pu 0.5000 0.0000 0.5000
4 Pu 0.5000 0.5000 0.0000
5 Al 0.2500 0.2500 0.7500
6 Al 0.2500 0.7500 0.2500
7 Al 0.7500 0.2500 0.2500
8 Al 0.7500 0.7500 0.7500
9 Ga 0.2500 0.2500 0.2500
10 Ga 0.2500 0.7500 0.7500
11 Ga 0.7500 0.2500 0.7500
12 Ga 0.7500 0.7500 0.2500
13 Au 0.0000 0.0000 0.5000
14 Au 0.0000 0.5000 0.0000
15 Au 0.5000 0.0000 0.0000
16 Au 0.5000 0.5000 0.5000


No. 8
Below is a relaxed structure of Au3Cl5, with properties calculated at the PBE level.

The calculation puts the total moment at 0.00 μB/cell. The value obtained for the relative energy among the computed polymorphs is 0.269 eV/atom. The value obtained for the uncorrected formation energy is 95 meV/atom. As for the space group: No. 193.

a = 7.4096 Å, b = 7.4096 Å, c = 7.7191 Å
α = 90.00°, β = 90.00°, γ = 120.00°
Element x y z (fractional)
1 Au 0.0000 0.3806 0.2500
2 Au 0.0000 0.6194 0.7500
3 Au 0.3806 0.0000 0.2500
4 Au 0.3806 0.3806 0.7500
5 Au 0.6194 0.0000 0.7500
6 Au 0.6194 0.6194 0.2500
7 Cl 0.0000 0.2601 0.7500
8 Cl 0.0000 0.7399 0.2500
9 Cl 0.2601 0.0000 0.7500
10 Cl 0.2601 0.2601 0.2500
11 Cl 0.3333 0.6667 0.0000
12 Cl 0.3333 0.6667 0.5000
13 Cl 0.6667 0.3333 0.0000
14 Cl 0.6667 0.3333 0.5000
15 Cl 0.7399 0.0000 0.2500
16 Cl 0.7399 0.7399 0.7500


No. 9
Below is a relaxed structure of YSc2Ta2, with properties calculated at the PBE level.

The calculation puts the total moment at 0.00 μB/cell. The formation energy is 0.272 eV/atom. As for the space group: No. 127.

a = 8.4263 Å, b = 8.4263 Å, c = 3.2422 Å
α = 90.00°, β = 90.00°, γ = 90.00°
Element x y z (fractional)
1 Y 0.0000 0.0000 0.0000
2 Y 0.5000 0.5000 0.0000
3 Sc 0.1808 0.3192 0.5000
4 Sc 0.3192 0.8192 0.5000
5 Sc 0.6808 0.1808 0.5000
6 Sc 0.8192 0.6808 0.5000
7 Ta 0.1115 0.6115 0.0000
8 Ta 0.3885 0.1115 0.0000
9 Ta 0.6115 0.8885 0.0000
10 Ta 0.8885 0.3885 0.0000


No. 10
Below is a relaxed structure of TiCu3, with properties calculated at the PBE level.

The calculation puts the total moment at 0.00 μB/cell. The formation energy is 0.018 eV/atom. As for the space group: No. 25.

a = 2.5745 Å, b = 4.3814 Å, c = 4.6546 Å
α = 90.00°, β = 90.00°, γ = 90.00°
Element x y z (fractional)
1 Ti 0.0000 0.0000 0.0000
2 Cu 0.0000 0.5000 0.6713
3 Cu 0.5000 0.0000 0.4959
4 Cu 0.5000 0.5000 0.1870


No. 11
Below is a relaxed structure of ZnCdTc, with properties calculated at the PBE level.

The calculation puts the total moment at 7.42 μB/cell. The value obtained for the relative energy among the computed polymorphs is 0.651 eV/atom. The formation energy is 0.687 eV/atom. As for the space group: No. 216.

a = 6.0767 Å, b = 6.0767 Å, c = 6.0767 Å
α = 90.00°, β = 90.00°, γ = 90.00°
Element x y z (fractional)
1 Zn 0.0000 0.0000 0.0000
2 Zn 0.0000 0.5000 0.5000
3 Zn 0.5000 0.0000 0.5000
4 Zn 0.5000 0.5000 0.0000
5 Cd 0.2500 0.2500 0.7500
6 Cd 0.2500 0.7500 0.2500
7 Cd 0.7500 0.2500 0.2500
8 Cd 0.7500 0.7500 0.7500
9 Tc 0.2500 0.2500 0.2500
10 Tc 0.2500 0.7500 0.7500
11 Tc 0.7500 0.2500 0.7500
12 Tc 0.7500 0.7500 0.2500


No. 12
Below is a relaxed structure of La14YHg, with properties calculated at the PBE level.

The calculation puts the total moment at 0.00 μB/cell. The formation energy is -0.045 eV/atom. As for the space group: No. 38.

a = 10.4232 Å, b = 7.3140 Å, c = 7.3140 Å
α = 90.01°, β = 90.00°, γ = 90.00°
Element x y z (fractional)
1 La 0.0000 0.0000 0.0000
2 La 0.0000 0.4844 0.9978
3 La 0.0000 0.4900 0.4900
4 La 0.0000 0.9978 0.4844
5 La 0.2441 0.7400 0.7400
6 La 0.2557 0.2475 0.7374
7 La 0.2557 0.7374 0.2475
8 La 0.2666 0.2499 0.2499
9 La 0.5000 0.4988 0.9738
10 La 0.5000 0.9738 0.4988
11 La 0.7334 0.2499 0.2499
12 La 0.7443 0.2475 0.7374
13 La 0.7443 0.7374 0.2475
14 La 0.7559 0.7400 0.7400
15 Y 0.5000 0.9905 0.9905
16 Hg 0.5000 0.4928 0.4928


No. 13
Below is a relaxed structure of MgMnSi2, with properties calculated at the PBE level.

The calculation puts the total moment at 2.45 μB/cell. The value obtained for the uncorrected formation energy is -39 meV/atom. As for the space group: No. 44.

a = 2.6443 Å, b = 3.8732 Å, c = 12.3119 Å
α = 90.00°, β = 90.00°, γ = 90.00°
Element x y z (fractional)
1 Mg 0.0000 0.0000 0.0000
2 Mg 0.5000 0.5000 0.5000
3 Mn 0.0000 0.5000 0.7031
4 Mn 0.5000 0.0000 0.2031
5 Si 0.0000 0.0000 0.3682
6 Si 0.0000 0.5000 0.1892
7 Si 0.5000 0.0000 0.6892
8 Si 0.5000 0.5000 0.8682


No. 14
Below is a relaxed structure of Gd2Tm, with properties calculated at the PBE level.

The calculation puts the total moment at 31.21 μB/cell. The value obtained for the relative energy among the computed polymorphs is 0.000 eV/atom. The formation energy is 0.088 eV/atom. As for the space group: No. 139.

a = 4.1206 Å, b = 4.1206 Å, c = 11.3014 Å
α = 90.00°, β = 90.00°, γ = 90.00°
Element x y z (fractional)
1 Gd 0.0000 0.0000 0.1626
2 Gd 0.0000 0.0000 0.8374
3 Gd 0.5000 0.5000 0.3374
4 Gd 0.5000 0.5000 0.6626
5 Tm 0.0000 0.0000 0.5000
6 Tm 0.5000 0.5000 0.0000


No. 15
Below is a relaxed structure of Cs2MnHgS4, with properties calculated at the PBE level.

The calculation puts the total moment at 3.60 μB/cell. The value obtained for the uncorrected formation energy is -667 meV/atom. As for the space group: No. 70.

a = 13.8455 Å, b = 12.5595 Å, c = 7.4888 Å
α = 83.25°, β = 64.27°, γ = 32.49°
Element x y z (fractional)
1 Cs 0.0532 0.0532 0.6968
2 Cs 0.3032 0.3032 0.9468
3 Cs 0.6968 0.6968 0.0532
4 Cs 0.9468 0.9468 0.3032
5 Mn 0.3750 0.3750 0.3750
6 Mn 0.6250 0.6250 0.6250
7 Hg 0.1250 0.1250 0.1250
8 Hg 0.8750 0.8750 0.8750
9 S 0.0375 0.6133 0.5352
10 S 0.3140 0.5352 0.6133
11 S 0.3867 0.9625 0.6860
12 S 0.4648 0.6860 0.9625
13 S 0.5352 0.3140 0.0375
14 S 0.6133 0.0375 0.3140
15 S 0.6860 0.4648 0.3867
16 S 0.9625 0.3867 0.4648


No. 16
Below is a relaxed structure of Ba3CdGa3, with properties calculated at the PBE level.

The calculation puts the total moment at 0.00 μB/cell. The formation energy is -0.364 eV/atom. As for the space group: No. 12.

a = 6.3826 Å, b = 6.3826 Å, c = 16.0398 Å
α = 106.27°, β = 106.27°, γ = 48.30°
Element x y z (fractional)
1 Ba 0.0221 0.0221 0.2656
2 Ba 0.1880 0.1880 0.5718
3 Ba 0.3364 0.3364 0.8813
4 Ba 0.6636 0.6636 0.1187
5 Ba 0.8120 0.8120 0.4282
6 Ba 0.9779 0.9779 0.7344
7 Cd 0.3502 0.3502 0.1025
8 Cd 0.6498 0.6498 0.8975
9 Ga 0.0880 0.0880 0.9654
10 Ga 0.3264 0.3264 0.2786
11 Ga 0.4936 0.4936 0.5792
12 Ga 0.5064 0.5064 0.4208
13 Ga 0.6736 0.6736 0.7214
14 Ga 0.9120 0.9120 0.0346


No. 17
Below is a relaxed structure of Ag4PdF7, with properties calculated at the PBE level.

The calculation puts the total moment at 1.26 μB/cell. The value obtained for the uncorrected formation energy is -1058 meV/atom. As for the space group: No. 8.

a = 5.9976 Å, b = 5.9976 Å, c = 10.1823 Å
α = 107.08°, β = 107.08°, γ = 32.28°
Element x y z (fractional)
1 Ag 0.0000 0.0000 0.0000
2 Ag 0.1810 0.1810 0.7780
3 Ag 0.5730 0.5730 0.4220
4 Ag 0.8772 0.8772 0.5962
5 Pd 0.7839 0.7839 0.1702
6 F 0.1743 0.1743 0.2087
7 F 0.2195 0.2195 0.5255
8 F 0.3886 0.3886 0.1227
9 F 0.5335 0.5335 0.6611
10 F 0.6572 0.6572 0.9783
11 F 0.8353 0.8353 0.8166
12 F 0.9097 0.9097 0.3627


No. 18
Below is a relaxed structure of EuPuCuSb, with properties calculated at the PBE level.

The calculation puts the total moment at 52.07 μB/cell. The value obtained for the uncorrected formation energy is -360 meV/atom. As for the space group: No. 216.

a = 7.4723 Å, b = 7.4723 Å, c = 7.4723 Å
α = 90.00°, β = 90.00°, γ = 90.00°
Element x y z (fractional)
1 Eu 0.0000 0.0000 0.0000
2 Eu 0.0000 0.5000 0.5000
3 Eu 0.5000 0.0000 0.5000
4 Eu 0.5000 0.5000 0.0000
5 Pu 0.0000 0.0000 0.5000
6 Pu 0.0000 0.5000 0.0000
7 Pu 0.5000 0.0000 0.0000
8 Pu 0.5000 0.5000 0.5000
9 Cu 0.2500 0.2500 0.2500
10 Cu 0.2500 0.7500 0.7500
11 Cu 0.7500 0.2500 0.7500
12 Cu 0.7500 0.7500 0.2500
13 Sb 0.2500 0.2500 0.7500
14 Sb 0.2500 0.7500 0.2500
15 Sb 0.7500 0.2500 0.2500
16 Sb 0.7500 0.7500 0.7500


No. 19
Below is a relaxed structure of Sc2Be2Fe5Tc, with properties calculated at the PBE level.

The calculation puts the total moment at 5.35 μB/cell. The formation energy is -0.074 eV/atom. As for the space group: No. 127.

a = 8.9203 Å, b = 8.9203 Å, c = 3.0579 Å
α = 90.00°, β = 90.00°, γ = 90.00°
Element x y z (fractional)
1 Sc 0.1748 0.3252 0.0000
2 Sc 0.3252 0.8252 0.0000
3 Sc 0.6748 0.1748 0.0000
4 Sc 0.8252 0.6748 0.0000
5 Be 0.1198 0.6198 0.0000
6 Be 0.3802 0.1198 0.0000
7 Be 0.6198 0.8802 0.0000
8 Be 0.8802 0.3802 0.0000
9 Fe 0.0000 0.5000 0.5000
10 Fe 0.0649 0.7915 0.5000
11 Fe 0.2085 0.0649 0.5000
12 Fe 0.2915 0.5649 0.5000
13 Fe 0.4351 0.2915 0.5000
14 Fe 0.5000 0.0000 0.5000
15 Fe 0.5649 0.7085 0.5000
16 Fe 0.7085 0.4351 0.5000
17 Fe 0.7915 0.9351 0.5000
18 Fe 0.9351 0.2085 0.5000
19 Tc 0.0000 0.0000 0.0000
20 Tc 0.5000 0.5000 0.0000


No. 20
Below is a relaxed structure of Pm3Sm5Dy4, with properties calculated at the PBE level.

The calculation puts the total moment at 0.00 μB/cell. The value obtained for the relative energy among the computed polymorphs is 0.000 eV/atom. The formation energy is 0.014 eV/atom. As for the space group: No. 2.

a = 6.2447 Å, b = 7.2079 Å, c = 8.8246 Å
α = 90.08°, β = 90.04°, γ = 90.10°
Element x y z (fractional)
1 Pm 0.0000 0.0000 0.0000
2 Pm 0.1661 0.7485 0.6654
3 Pm 0.8339 0.2515 0.3346
4 Sm 0.0000 0.5000 0.0000
5 Sm 0.3333 0.0002 0.3345
6 Sm 0.4990 0.2515 0.9998
7 Sm 0.5010 0.7485 0.0002
8 Sm 0.6667 0.9998 0.6655
9 Dy 0.1672 0.2516 0.6655
10 Dy 0.3338 0.5003 0.3347
11 Dy 0.6662 0.4997 0.6653
12 Dy 0.8328 0.7484 0.3345